Record 1
Here is a geometry-optimized NiPbCl structure from the Alexandria database. Energies are from PBE.

a = 4.555 Å, b = 4.555 Å, c = 4.555 Å
α = 60.00°, β = 60.00°, γ = 60.00°
Fractional positions:
Ni (0.000, 0.000, 0.000)
Pb (0.750, 0.750, 0.750)
Cl (0.250, 0.250, 0.250)

Output
DOS at the Fermi energy, states/eV per atom: 0.692
Raw formation energy, eV/atom: 0.1287
Size of the total moment, μB/f.u.: 0.000
Space group: F-43m
Energy relative to the lowest polymorph listed for this composition, eV/atom: 0.2565

Record 2
Here is a geometry-optimized Zn6AgRh structure from the Alexandria database. Energies are from PBE.

a = 4.536 Å, b = 4.536 Å, c = 7.286 Å
α = 103.59°, β = 103.59°, γ = 69.04°
Fractional positions:
Zn (0.066, 0.565, 0.202)
Zn (0.140, 0.140, 0.435)
Zn (0.435, 0.934, 0.798)
Zn (0.565, 0.066, 0.202)
Zn (0.860, 0.860, 0.565)
Zn (0.934, 0.435, 0.798)
Ag (0.000, 0.000, 0.000)
Rh (0.500, 0.500, 0.500)

Output
DOS at the Fermi energy, states/eV per atom: 0.337
Formation enthalpy at 0 K, eV per atom: -0.0127
Size of the total moment, μB/f.u.: 0.000
Space group: C2/m
Energy relative to the lowest polymorph listed for this composition, eV/atom: 0.1491

Record 3
Here is a geometry-optimized YNbSe3 structure from the Alexandria database. Energies are from PBE.

a = 5.025 Å, b = 5.025 Å, c = 5.025 Å
α = 90.00°, β = 90.00°, γ = 90.00°
Fractional positions:
Y (0.000, 0.000, 0.000)
Nb (0.500, 0.500, 0.500)
Se (0.000, 0.500, 0.500)
Se (0.500, 0.000, 0.500)
Se (0.500, 0.500, 0.000)

Output
DOS at the Fermi energy, states/eV per atom: 0.805
Raw formation energy, eV/atom: -0.6228
Size of the total moment, μB/f.u.: 0.000
Space group: Pm-3m
Energy relative to the lowest polymorph listed for this composition, eV/atom: 0.0000

Record 4
Here is a geometry-optimized KAlReP2 structure from the Alexandria database. Energies are from PBE.

a = 5.130 Å, b = 5.130 Å, c = 5.073 Å
α = 90.00°, β = 90.00°, γ = 90.00°
Fractional positions:
K (0.000, 0.000, 0.000)
Al (0.000, 0.000, 0.500)
Re (0.500, 0.500, 0.500)
P (0.000, 0.500, 0.000)
P (0.500, 0.000, 0.000)

Output
DOS at the Fermi energy, states/eV per atom: 0.960
Formation enthalpy at 0 K, eV per atom: 2.6542
Size of the total moment, μB/f.u.: 3.717
Space group: P4/mmm

Record 5
Here is a geometry-optimized TlI structure from the Alexandria database. Energies are from PBE.

a = 4.270 Å, b = 4.270 Å, c = 4.270 Å
α = 90.00°, β = 90.00°, γ = 90.00°
Fractional positions:
Tl (0.000, 0.000, 0.000)
I (0.500, 0.500, 0.500)

Output
DOS at the Fermi energy, states/eV per atom: 0.000
Raw formation energy, eV/atom: -0.6135
Size of the total moment, μB/f.u.: 0.000
Space group: Pm-3m
Energy relative to the lowest polymorph listed for this composition, eV/atom: 0.0520

Record 6
Here is a geometry-optimized CsTlF4 structure from the Alexandria database. Energies are from PBE.

a = 7.136 Å, b = 7.136 Å, c = 7.017 Å
α = 107.78°, β = 107.78°, γ = 105.05°
Fractional positions:
Cs (0.139, 0.861, 0.750)
Cs (0.861, 0.139, 0.250)
Tl (0.469, 0.531, 0.250)
Tl (0.531, 0.469, 0.750)
F (0.179, 0.269, 0.070)
F (0.269, 0.179, 0.570)
F (0.357, 0.605, 0.526)
F (0.395, 0.643, 0.974)
F (0.605, 0.357, 0.026)
F (0.643, 0.395, 0.474)
F (0.731, 0.821, 0.430)
F (0.821, 0.731, 0.930)

Output
DOS at the Fermi energy, states/eV per atom: 0.000
Raw formation energy, eV/atom: -2.2031
Size of the total moment, μB/f.u.: 0.000
Space group: C2/c
Energy relative to the lowest polymorph listed for this composition, eV/atom: 0.0254